Entry 1:
Below is a relaxed CaAc3Nd12 crystal, with properties calculated at the GGA-PBE level.

Results
Formation energy from the elements, eV/atom: 0.037
Final energy, eV for the cell shown: -70.95
Density of states at the Fermi level, states/eV per atom: 1.647

Lattice parameters (Å, degrees): 5.311 5.311 21.082 90.00 90.00 90.00
Fractional positions:
Ca 0.000 0.000 0.000
Ac 0.000 0.000 0.249
Ac 0.000 0.000 0.500
Ac 0.000 0.000 0.751
Nd 0.000 0.500 0.125
Nd 0.000 0.500 0.375
Nd 0.000 0.500 0.625
Nd 0.000 0.500 0.875
Nd 0.500 0.000 0.125
Nd 0.500 0.000 0.375
Nd 0.500 0.000 0.625
Nd 0.500 0.000 0.875
Nd 0.500 0.500 0.000
Nd 0.500 0.500 0.247
Nd 0.500 0.500 0.500
Nd 0.500 0.500 0.753


Entry 2:
Below is a relaxed Ca4AcNd crystal, with properties calculated at the GGA-PBE level.

Results
Formation energy from the elements, eV/atom: 0.224
Final energy, eV for the cell shown: -15.54
Density of states at the Fermi level, states/eV per atom: 2.113

Lattice parameters (Å, degrees): 7.146 7.146 7.146 60.00 60.00 60.00
Fractional positions:
Ca 0.125 0.125 0.125
Ca 0.125 0.125 0.624
Ca 0.125 0.624 0.125
Ca 0.624 0.125 0.125
Ac 0.750 0.750 0.750
Nd 0.500 0.500 0.500


Entry 3:
Below is a relaxed CaAc3Nd4 crystal, with properties calculated at the GGA-PBE level.

Results
Formation energy from the elements, eV/atom: 0.105
Final energy, eV for the cell shown: -32.56
Density of states at the Fermi level, states/eV per atom: 1.856

Lattice parameters (Å, degrees): 4.008 6.262 12.494 90.00 90.00 90.00
Fractional positions:
Ca 0.000 0.000 0.000
Ac 0.000 0.000 0.500
Ac 0.000 0.500 0.252
Ac 0.000 0.500 0.748
Nd 0.500 0.000 0.243
Nd 0.500 0.000 0.757
Nd 0.500 0.500 0.000
Nd 0.500 0.500 0.500


Entry 4:
Below is a relaxed CaAcNd2 crystal, with properties calculated at the GGA-PBE level.

Results
Formation energy from the elements, eV/atom: 0.070
Final energy, eV for the cell shown: -15.37
Density of states at the Fermi level, states/eV per atom: 1.534

Lattice parameters (Å, degrees): 5.308 5.308 5.460 90.00 90.00 90.00
Fractional positions:
Ca 0.000 0.000 0.000
Ac 0.500 0.500 0.000
Nd 0.000 0.500 0.500
Nd 0.500 0.000 0.500


Entry 5:
Below is a relaxed Ca6Ac2Nd crystal, with properties calculated at the GGA-PBE level.

Results
Formation energy from the elements, eV/atom: 0.069
Final energy, eV for the cell shown: -24.37
Density of states at the Fermi level, states/eV per atom: 1.511

Lattice parameters (Å, degrees): 10.752 10.752 4.006 94.42 94.42 124.42
Fractional positions:
Ca 0.003 0.670 0.664
Ca 0.175 0.175 0.839
Ca 0.330 0.997 0.336
Ca 0.670 0.003 0.664
Ca 0.825 0.825 0.161
Ca 0.997 0.330 0.336
Ac 0.342 0.658 0.000
Ac 0.658 0.342 0.000
Nd 0.500 0.500 0.500


Entry 6:
Below is a relaxed Ca2Ac4Nd crystal, with properties calculated at the GGA-PBE level.

Results
Formation energy from the elements, eV/atom: 0.449
Final energy, eV for the cell shown: -22.06
Density of states at the Fermi level, states/eV per atom: 1.781

Lattice parameters (Å, degrees): 7.782 7.782 6.479 90.00 90.00 128.23
Fractional positions:
Ca 0.108 0.892 0.000
Ca 0.892 0.108 0.000
Ac 0.196 0.804 0.500
Ac 0.361 0.639 0.000
Ac 0.639 0.361 0.000
Ac 0.804 0.196 0.500
Nd 0.500 0.500 0.500